# 1
First-principles (GGA-PBE) data for an optimized crystal structure of Th2PaMoC4, as listed in Alexandria via LeMat-Bulk.

```
Th2PaMoC4
1.0
3.510 0.000 0.000
-1.755 6.055 0.000
0.000 0.000 12.852
Th Pa Mo C
4 2 2 8
direct
0.365 0.731 0.540
0.635 0.269 0.040
0.635 0.269 0.460
0.365 0.731 0.960
0.100 0.199 0.750
0.900 0.801 0.250
0.835 0.670 0.750
0.165 0.330 0.250
0.277 0.554 0.140
0.723 0.446 0.640
0.723 0.446 0.860
0.277 0.554 0.360
0.000 0.000 0.500
0.000 0.000 0.000
0.446 0.892 0.750
0.554 0.108 0.250
```

- DFT formation energy (eV per atom) = 0.001
- energy (eV per atom) = -9.007
- symmetry = Cmcm, No. 63

# 2
First-principles (GGA-PBE) data for an optimized crystal structure of PaTiMoC3, as listed in Alexandria via LeMat-Bulk.

```
PaTiMoC3
1.0
3.271 0.000 0.000
0.000 5.585 0.098
0.000 -1.924 8.058
Pa Ti Mo C
2 2 2 6
direct
0.750 0.646 0.701
0.250 0.354 0.299
0.250 0.774 0.051
0.750 0.226 0.949
0.250 0.126 0.636
0.750 0.874 0.364
0.250 0.750 0.488
0.750 0.038 0.154
0.750 0.563 0.160
0.750 0.250 0.512
0.250 0.437 0.840
0.250 0.962 0.846
```

- DFT formation energy (eV per atom) = -0.430
- energy (eV per atom) = -9.745
- symmetry = P2_1/m, No. 11

# 3
First-principles (GGA-PBE) data for an optimized crystal structure of PaTi2MoC4, as listed in Alexandria via LeMat-Bulk.

```
PaTi2MoC4
1.0
-0.250 1.409 2.896
-3.767 -4.537 0.080
7.951 -6.534 3.867
Pa Ti Mo C
2 4 2 8
direct
0.120 0.240 0.750
0.880 0.760 0.250
0.372 0.743 0.535
0.628 0.257 0.035
0.628 0.257 0.465
0.372 0.743 0.965
0.854 0.707 0.750
0.146 0.293 0.250
0.261 0.521 0.113
0.739 0.479 0.613
0.739 0.479 0.887
0.261 0.521 0.387
0.000 0.000 0.500
0.000 0.000 0.000
0.461 0.922 0.750
0.539 0.078 0.250
```

- DFT formation energy (eV per atom) = -0.276
- energy (eV per atom) = -9.403
- symmetry = Cmcm, No. 63

# 4
First-principles (GGA-PBE) data for an optimized crystal structure of TmPaMoC3, as listed in Alexandria via LeMat-Bulk.

```
TmPaMoC3
1.0
3.594 0.000 0.000
0.000 7.100 0.850
0.000 -1.017 7.681
Tm Pa Mo C
2 2 2 6
direct
0.250 0.143 0.155
0.750 0.857 0.845
0.250 0.615 0.173
0.750 0.385 0.827
0.250 0.108 0.589
0.750 0.892 0.411
0.750 0.870 0.155
0.250 0.130 0.845
0.250 0.823 0.513
0.750 0.177 0.487
0.750 0.397 0.122
0.250 0.603 0.878
```

- DFT formation energy (eV per atom) = -0.045
- energy (eV per atom) = -8.790
- symmetry = P2_1/m, No. 11